No. 1
The following is a GGA-PBE calculation of a relaxed structure of LuPuCoAu, from Alexandria.

Unit cell a=4.9030 b=4.9030 c=4.9030 alpha=60.00 beta=60.00 gamma=60.00
Closest atoms and distances in Å follow each position.
Positions (direct):
Pu1 0.2500 0.2500 0.2500  4 Co 3.00, 4 Au 3.00
Lu1 0.7500 0.7500 0.7500  4 Au 3.00, 4 Co 3.00
Co1 0.0000 0.0000 0.0000  4 Pu 3.00, 4 Lu 3.00
Au1 0.5000 0.5000 0.5000  4 Lu 3.00, 4 Pu 3.00

Computed properties:
- Formation energy: -0.24 eV/atom
- Mass density: 13.4 g/cm³


No. 2
The following is a GGA-PBE calculation of a relaxed structure of K2CuNi, from Alexandria.

Unit cell a=4.2586 b=4.2791 c=7.2632 alpha=53.57 beta=90.00 gamma=90.00
Closest atoms and distances in Å follow each position.
Positions (direct):
K1 0.0000 0.9976 0.0021  2 K 2.90-2.95
Cu1 0.5000 0.7500 0.7500  2 Ni 2.92
K2 0.0000 0.5024 0.4979  2 K 2.90-2.95
Ni1 0.5000 0.2500 0.2500  2 Cu 2.92

Computed properties:
- Formation energy: 0.76 eV/atom
- Mass density: 3.1 g/cm³


No. 3
The following is a GGA-PBE calculation of a relaxed structure of Tl9InHg2, from Alexandria.

Unit cell a=4.9676 b=4.9676 c=14.4304 alpha=90.00 beta=90.00 gamma=90.00
Closest atoms and distances in Å follow each position.
Positions (direct):
Tl1 0.0000 0.5000 0.1667  8 Tl 3.45-3.51, 2 In 3.46, 2 Hg 3.49
Tl2 0.0000 0.5000 0.8333  8 Tl 3.45-3.51, 2 In 3.46, 2 Hg 3.49
Hg1 0.0000 0.0000 0.6633  12 Tl 3.42-3.51
Tl3 0.0000 0.5000 0.5000  4 Hg 3.42, 8 Tl 3.46-3.51
Tl4 0.5000 0.0000 0.8333  8 Tl 3.45-3.51, 2 In 3.46, 2 Hg 3.49
Hg2 0.0000 0.0000 0.3367  12 Tl 3.42-3.51
Tl5 0.5000 0.0000 0.1667  8 Tl 3.45-3.51, 2 In 3.46, 2 Hg 3.49
Tl6 0.5000 0.5000 0.3327  8 Tl 3.45-3.46, 4 Hg 3.51
Tl7 0.5000 0.0000 0.5000  4 Hg 3.42, 8 Tl 3.46-3.51
In1 0.0000 0.0000 0.0000  12 Tl 3.46-3.51
Tl8 0.5000 0.5000 0.0000  8 Tl 3.46, 4 In 3.51
Tl9 0.5000 0.5000 0.6673  8 Tl 3.45-3.46, 4 Hg 3.51

Computed properties:
- Formation energy: 0.03 eV/atom
- Mass density: 11.0 g/cm³


No. 4
The following is a GGA-PBE calculation of a relaxed structure of Tb2SmMgHg4, from Alexandria.

Unit cell a=5.1708 b=5.1708 c=9.2112 alpha=73.70 beta=73.70 gamma=60.00
Closest atoms and distances in Å follow each position.
Positions (direct):
Hg1 0.6235 0.6235 0.1295  3 Sm 3.19, 4 Tb 3.22-3.46, 1 Mg 3.23
Hg2 0.8746 0.8746 0.3763  4 Tb 3.10-3.13, 3 Mg 3.17, 1 Sm 3.28
Hg3 0.3765 0.3765 0.8705  3 Sm 3.19, 4 Tb 3.22-3.46, 1 Mg 3.23
Mg1 0.5000 0.5000 0.5000  8 Hg 3.17-3.23
Tb1 0.2441 0.2441 0.2677  8 Hg 3.10-3.46
Tb2 0.7559 0.7559 0.7323  8 Hg 3.10-3.46
Hg4 0.1254 0.1254 0.6237  4 Tb 3.10-3.13, 3 Mg 3.17, 1 Sm 3.28
Sm1 0.0000 0.0000 0.0000  8 Hg 3.19-3.28

Computed properties:
- Formation energy: -0.46 eV/atom
- Mass density: 10.7 g/cm³


No. 5
The following is a GGA-PBE calculation of a relaxed structure of CaSbH6Ir2, from Alexandria.

Unit cell a=7.0632 b=7.0632 c=5.1794 alpha=96.16 beta=96.16 gamma=116.69
Closest atoms and distances in Å follow each position.
Positions (direct):
H1 0.0993 0.1376 0.9837  2 Ir 1.75-1.77, 1 H 1.86
H2 0.5653 0.9219 0.4016  1 Ir 1.65
Ir1 0.2879 0.1292 0.7945  4 H 1.60-1.77
H3 0.9007 0.8624 0.0163  2 Ir 1.75-1.77, 1 H 1.86
Ir2 0.8708 0.7121 0.7055  4 H 1.60-1.77
H4 0.8624 0.9007 0.5163  2 Ir 1.75-1.77, 1 H 1.86
H5 0.3931 0.0288 0.9923  1 Ir 1.60, 1 H 1.73
H6 0.6069 0.9712 0.0077  1 Ir 1.60, 1 H 1.73
Sb1 0.4385 0.5615 0.7500  2 H 2.70, 4 Ir 2.79-2.86, 2 Sb 2.98
Sb2 0.5615 0.4385 0.2500  2 H 2.70, 4 Ir 2.79-2.86, 2 Sb 2.98
Ir3 0.7121 0.8708 0.2055  4 H 1.60-1.77
Ca1 0.1891 0.8109 0.2500  8 H 2.26-2.45
Ir4 0.1292 0.2879 0.2945  4 H 1.60-1.77
H7 0.4347 0.0781 0.5984  1 Ir 1.65
H8 0.0781 0.4347 0.0984  1 Ir 1.65
H9 0.9219 0.5653 0.9016  1 Ir 1.65
H10 0.1376 0.0993 0.4837  2 Ir 1.75-1.77, 1 H 1.86
Ca2 0.8109 0.1891 0.7500  8 H 2.26-2.45
H11 0.9712 0.6069 0.5077  1 Ir 1.60, 1 H 1.73
H12 0.0288 0.3931 0.4923  1 Ir 1.60, 1 H 1.73

Computed properties:
- Mass density: 8.1 g/cm³


No. 6
The following is a GGA-PBE calculation of a relaxed structure of BeHg, from Alexandria.

Unit cell a=2.8782 b=2.8782 c=8.0782 alpha=90.00 beta=90.00 gamma=90.00
Closest atoms and distances in Å follow each position.
Positions (direct):
Hg1 0.7500 0.7500 0.8138  5 Be 2.87-3.04, 4 Hg 2.88
Be1 0.2500 0.2500 0.5630  4 Be 2.28
Hg2 0.2500 0.2500 0.1862  5 Be 2.87-3.04, 4 Hg 2.88
Be2 0.7500 0.7500 0.4370  4 Be 2.28

Computed properties:
- Formation energy: 0.44 eV/atom
- Mass density: 10.4 g/cm³


No. 7
The following is a GGA-PBE calculation of a relaxed structure of Ce2Np3Se8, from Alexandria.

Unit cell a=4.9260 b=10.0771 c=8.6744 alpha=125.50 beta=90.00 gamma=90.00
Closest atoms and distances in Å follow each position.
Positions (direct):
Se1 0.5000 0.6389 0.7574  3 Np 2.96-3.02, 2 Ce 3.09-3.13
Se2 0.0000 0.8830 0.7660  4 Np 2.97-3.23, 2 Ce 3.21, 1 Se 3.31
Np1 0.0000 0.2752 0.9999  6 Se 2.87-3.02
Np2 0.0000 0.7248 0.0001  6 Se 2.87-3.02
Se3 0.0000 0.1170 0.2340  4 Np 2.97-3.23, 2 Ce 3.21, 1 Se 3.31
Se4 0.5000 0.8815 0.2427  3 Np 2.96-3.02, 2 Ce 3.09-3.13
Se5 0.5000 0.3611 0.2426  3 Np 2.96-3.02, 2 Ce 3.09-3.13
Ce1 0.5000 0.2624 0.5248  8 Se 2.93-3.21
Se6 0.0000 0.6251 0.2504  2 Np 2.87, 2 Ce 2.93
Ce2 0.5000 0.7376 0.4752  8 Se 2.93-3.21
Se7 0.5000 0.1185 0.7573  3 Np 2.96-3.02, 2 Ce 3.09-3.13
Np3 0.5000 0.0000 0.0000  8 Se 2.96-2.97
Se8 0.0000 0.3749 0.7496  2 Np 2.87, 2 Ce 2.93

Computed properties:
- ΔE_f (raw): -1293 meV per atom
- Mass density: 7.7 g/cm³


No. 8
The following is a GGA-PBE calculation of a relaxed structure of ScReRu2I, from Alexandria.

Unit cell a=4.7397 b=4.8379 c=4.7397 alpha=90.00 beta=90.00 gamma=90.00
Closest atoms and distances in Å follow each position.
Positions (direct):
Ru1 0.0000 0.0000 0.5000  2 I 2.37
Ru2 0.5000 0.0000 0.0000  2 I 2.37
Re1 0.0000 0.5000 0.0000  2 I 2.42
I1 0.0000 0.0000 0.0000  4 Ru 2.37, 2 Re 2.42
Sc1 0.5000 0.5000 0.5000  4 Re 3.35, 8 Ru 3.39

Computed properties:
- ΔE_f (raw): 1576 meV per atom
- Mass density: 8.6 g/cm³


no.,total energy (eV per atom)
1,-7.552
2,-2.256
3,-2.022
4,-2.554
5,-4.573
6,-1.577
7,-7.336
8,-6.200